Entry 1:
# Be3PtRh, optimized geometry, DFT PBE-GGA
# volume	66.80	Å³/cell
# E above lowest polymorph	53	meV/atom
# magnetization	0.00	μB per formula unit
# N(E_F)	0.397	states/eV per atom
# calculated formation energy	0.3355	eV per atom
data_Be3PtRh
_symmetry_space_group_name_H-M 'P m -3 m'
_symmetry_Int_Tables_number 221
_symmetry_space_group_name_Hall '-P 4 2 3'
_cell_length_a 4.057
_cell_length_b 4.057
_cell_length_c 4.057
_cell_angle_alpha 90.00
_cell_angle_beta 90.00
_cell_angle_gamma 90.00
loop_
_atom_site_label
_atom_site_fract_x
_atom_site_fract_y
_atom_site_fract_z
Be1 0.000 0.000 0.500
Pt1 0.500 0.500 0.500
Rh1 0.000 0.000 0.000

Entry 2:
# Be2PtRh, optimized geometry, DFT PBE-GGA
# volume	89.73	Å³/cell
# magnetization	0.00	μB per formula unit
# N(E_F)	0.225	states/eV per atom
# calculated formation energy	-0.6712	eV per atom
data_Be2PtRh
_symmetry_space_group_name_H-M 'A m m 2'
_symmetry_Int_Tables_number 38
_symmetry_space_group_name_Hall 'A 2 -2'
_cell_length_a 3.696
_cell_length_b 2.875
_cell_length_c 8.444
_cell_angle_alpha 90.00
_cell_angle_beta 90.00
_cell_angle_gamma 90.00
loop_
_atom_site_label
_atom_site_fract_x
_atom_site_fract_y
_atom_site_fract_z
Be1 0.000 0.000 0.000
Be2 0.500 0.000 0.166
Pt1 0.500 0.000 0.442
Rh1 0.000 0.000 0.720

Entry 3:
# BePtRh3, optimized geometry, DFT PBE-GGA
# volume	108.92	Å³/cell
# E above lowest polymorph	1482	meV/atom
# magnetization	2.72	μB per formula unit
# N(E_F)	1.697	states/eV per atom
# calculated formation energy	1.7277	eV per atom
data_BePtRh3
_symmetry_space_group_name_H-M 'P m -3 m'
_symmetry_Int_Tables_number 221
_symmetry_space_group_name_Hall '-P 4 2 3'
_cell_length_a 4.776
_cell_length_b 4.776
_cell_length_c 4.776
_cell_angle_alpha 90.00
_cell_angle_beta 90.00
_cell_angle_gamma 90.00
loop_
_atom_site_label
_atom_site_fract_x
_atom_site_fract_y
_atom_site_fract_z
Be1 0.000 0.000 0.000
Pt1 0.500 0.500 0.500
Rh1 0.000 0.500 0.500

Entry 4:
# BePtRh, optimized geometry, DFT PBE-GGA
# volume	192.17	Å³/cell
# E above lowest polymorph	685	meV/atom
# magnetization	1.05	μB per formula unit
# N(E_F)	1.117	states/eV per atom
# calculated formation energy	0.2272	eV per atom
data_BePtRh
_symmetry_space_group_name_H-M 'F -4 3 m'
_symmetry_Int_Tables_number 216
_symmetry_space_group_name_Hall 'F -4 2 3'
_cell_length_a 5.771
_cell_length_b 5.771
_cell_length_c 5.771
_cell_angle_alpha 90.00
_cell_angle_beta 90.00
_cell_angle_gamma 90.00
loop_
_atom_site_label
_atom_site_fract_x
_atom_site_fract_y
_atom_site_fract_z
Be1 0.000 0.000 0.000
Pt1 0.250 0.250 0.250
Rh1 0.000 0.000 0.500

Entry 5:
# Be2PtRh, optimized geometry, DFT PBE-GGA
# volume	44.41	Å³/cell
# magnetization	0.00	μB per formula unit
# N(E_F)	0.314	states/eV per atom
# calculated formation energy	-0.7605	eV per atom
data_Be2PtRh
_symmetry_space_group_name_H-M 'P 4/m m m'
_symmetry_Int_Tables_number 123
_symmetry_space_group_name_Hall '-P 4 2'
_cell_length_a 3.974
_cell_length_b 3.974
_cell_length_c 2.812
_cell_angle_alpha 90.00
_cell_angle_beta 90.00
_cell_angle_gamma 90.00
loop_
_atom_site_label
_atom_site_fract_x
_atom_site_fract_y
_atom_site_fract_z
Be1 0.000 0.500 0.000
Pt1 0.000 0.000 0.500
Rh1 0.500 0.500 0.500

Entry 6:
# Be2Pt2Rh, optimized geometry, DFT PBE-GGA
# volume	123.76	Å³/cell
# E above lowest polymorph	0	meV/atom
# magnetization	0.00	μB per formula unit
# N(E_F)	0.580	states/eV per atom
# calculated formation energy	-0.5829	eV per atom
data_Be2Pt2Rh
_symmetry_space_group_name_H-M 'C m m m'
_symmetry_Int_Tables_number 65
_symmetry_space_group_name_Hall '-C 2 2'
_cell_length_a 2.769
_cell_length_b 15.879
_cell_length_c 2.814
_cell_angle_alpha 90.00
_cell_angle_beta 90.00
_cell_angle_gamma 90.00
loop_
_atom_site_label
_atom_site_fract_x
_atom_site_fract_y
_atom_site_fract_z
Be1 0.000 0.088 0.000
Pt1 0.000 0.325 0.500
Rh1 0.000 0.500 0.500

Which formula does entry 6 have?
Be2Pt2Rh